Here is crystalline LaCrFe2Ag at its relaxed geometry from Alexandria. Energies are from PBE.

Results
* volume: 98 Å³/f.u.
* energy relative to the elements: 0.614 eV/atom
* raw total energy: -6.251 eV/atom

Unit cell a=4.405 b=4.405 c=5.054 alpha=90.00 beta=90.00 gamma=90.00
Space group P4/mmm (No. 123)
Unique sites:
La  0.000  0.000  0.000 (multiplicity 1)
Cr  0.500  0.500  0.500 (multiplicity 1)
Fe  0.000  0.500  0.500 (multiplicity 2)
Ag  0.500  0.500  0.000 (multiplicity 1)